## Ga2NiPd6 (PBE-GGA)

Data for a relaxed Ga2NiPd6 crystal.

## Properties
Symmetry: Fmmm (69)
Raw total energy, eV/atom: -5.186

a = 4.110 Å, b = 5.568 Å, c = 6.537 Å
α = 83.34°, β = 71.68°, γ = 68.34°
Fractional coordinates of all 9 atoms:
Ga 0.345 0.500 0.810
Ga 0.655 0.500 0.190
Ni 0.000 0.500 0.500
Pd 0.982 0.197 0.839
Pd 0.321 0.197 0.161
Pd 0.679 0.803 0.839
Pd 0.340 0.820 0.500
Pd 0.660 0.180 0.500
Pd 0.018 0.803 0.161

***

## Ga4NiPd (PBE-GGA)

Data for a relaxed Ga4NiPd crystal.

## Properties
Symmetry: I-4m2 (119)
Raw total energy, eV/atom: -3.983

a = 4.539 Å, b = 4.539 Å, c = 7.231 Å
α = 108.29°, β = 108.29°, γ = 90.00°
Fractional coordinates of all 6 atoms:
Ga 0.040 0.540 0.080
Ga 0.683 0.683 0.366
Ga 0.460 0.960 0.920
Ga 0.317 0.317 0.634
Ni 0.500 0.500 0.000
Pd 0.250 0.750 0.500

***

## Ga2Ni5Pd (PBE-GGA)

Data for a relaxed Ga2Ni5Pd crystal.

## Properties
Symmetry: Pbam (55)
Raw total energy, eV/atom: -5.316

a = 3.641 Å, b = 5.173 Å, c = 10.324 Å
α = 90.00°, β = 90.00°, γ = 90.00°
Fractional coordinates of all 16 atoms:
Ga 0.500 0.254 0.628
Ga 0.500 0.746 0.372
Ga 0.500 0.246 0.128
Ga 0.500 0.754 0.872
Ni 0.000 0.000 0.000
Ni 0.000 0.500 0.500
Ni 0.000 0.494 0.745
Ni 0.000 0.506 0.255
Ni 0.000 0.006 0.245
Ni 0.000 0.994 0.755
Ni 0.500 0.240 0.870
Ni 0.500 0.760 0.130
Ni 0.500 0.260 0.370
Ni 0.500 0.740 0.630
Pd 0.000 0.000 0.500
Pd 0.000 0.500 0.000

***

## GaNiPd (PBE-GGA)

Data for a relaxed GaNiPd crystal.

## Properties
Symmetry: I4mm (107)
Raw total energy, eV/atom: -5.053

a = 2.949 Å, b = 2.949 Å, c = 5.092 Å
α = 106.83°, β = 106.83°, γ = 90.00°
Fractional coordinates of all 3 atoms:
Ni 0.299 0.299 0.597
Pd 0.612 0.612 0.224
Ga 0.939 0.939 0.878

***

## Ga8Ni3Pd2 (PBE-GGA)

Data for a relaxed Ga8Ni3Pd2 crystal.

## Properties
Symmetry: P2/m (10)
Raw total energy, eV/atom: -4.379

a = 4.022 Å, b = 8.019 Å, c = 7.468 Å
α = 122.50°, β = 90.00°, γ = 90.00°
Fractional coordinates of all 13 atoms:
Ga 0.000 0.610 0.218
Ga 0.000 0.390 0.782
Ga 0.000 0.128 0.255
Ga 0.000 0.872 0.745
Ga 0.500 0.627 0.762
Ga 0.500 0.137 0.764
Ga 0.500 0.863 0.236
Ga 0.500 0.373 0.238
Ni 0.500 0.000 0.000
Ni 0.000 0.236 0.001
Ni 0.000 0.764 0.999
Pd 0.500 0.254 0.510
Pd 0.500 0.746 0.490

***

## Ga2NiPd3 (PBE-GGA)

Data for a relaxed Ga2NiPd3 crystal.

## Properties
Symmetry: Ibam (72)
Raw total energy, eV/atom: -5.042

a = 5.194 Å, b = 5.235 Å, c = 7.525 Å
α = 110.35°, β = 110.19°, γ = 90.00°
Fractional coordinates of all 12 atoms:
Ga 0.360 0.130 0.260
Ga 0.640 0.870 0.740
Ga 0.100 0.370 0.740
Ga 0.900 0.630 0.260
Ni 0.000 0.250 0.000
Ni 0.000 0.750 0.000
Pd 0.438 0.679 0.359
Pd 0.562 0.321 0.641
Pd 0.079 0.821 0.641
Pd 0.921 0.179 0.359
Pd 0.500 0.750 0.000
Pd 0.500 0.250 0.000

***

## Ga8NiPd2 (PBE-GGA)

Data for a relaxed Ga8NiPd2 crystal.

## Properties
Symmetry: C2/m (12)
Raw total energy, eV/atom: -3.977

a = 4.014 Å, b = 5.439 Å, c = 9.003 Å
α = 106.91°, β = 102.88°, γ = 90.00°
Fractional coordinates of all 11 atoms:
Ga 0.399 0.591 0.798
Ga 0.642 0.968 0.284
Ga 0.777 0.719 0.555
Ga 0.977 0.237 0.953
Ga 0.223 0.281 0.445
Ga 0.358 0.032 0.716
Ga 0.601 0.409 0.202
Ga 0.023 0.763 0.047
Ni 0.500 0.000 0.000
Pd 0.830 0.309 0.660
Pd 0.170 0.691 0.340

***

## Ga4NiPd7 (PBE-GGA)

Data for a relaxed Ga4NiPd7 crystal.

## Properties
Symmetry: P-1 (2)
Raw total energy, eV/atom: -4.994

a = 5.397 Å, b = 7.308 Å, c = 7.308 Å
α = 68.32°, β = 42.02°, γ = 72.28°
Fractional coordinates of all 12 atoms:
Ga 0.375 0.299 0.721
Ga 0.625 0.701 0.279
Ga 0.813 0.688 0.774
Ga 0.187 0.312 0.226
Ni 0.000 0.000 0.000
Pd 0.746 0.003 0.497
Pd 0.254 0.997 0.503
Pd 0.126 0.663 0.277
Pd 0.874 0.337 0.723
Pd 0.306 0.632 0.805
Pd 0.500 0.000 0.000
Pd 0.694 0.368 0.195

***

## Ga4Ni15Pd (PBE-GGA)

Data for a relaxed Ga4Ni15Pd crystal.

## Properties
Symmetry: P4/mmm (123)
Raw total energy, eV/atom: -5.418

a = 3.602 Å, b = 3.602 Å, c = 17.888 Å
α = 90.00°, β = 90.00°, γ = 90.00°
Fractional coordinates of all 20 atoms:
Ga 0.000 0.000 0.203
Ga 0.000 0.000 0.401
Ga 0.000 0.000 0.599
Ga 0.000 0.000 0.797
Ni 0.500 0.500 0.000
Ni 0.500 0.500 0.201
Ni 0.500 0.500 0.400
Ni 0.500 0.500 0.600
Ni 0.500 0.500 0.799
Ni 0.500 0.000 0.103
Ni 0.500 0.000 0.301
Ni 0.500 0.000 0.500
Ni 0.500 0.000 0.699
Ni 0.500 0.000 0.897
Ni 0.000 0.500 0.103
Ni 0.000 0.500 0.301
Ni 0.000 0.500 0.500
Ni 0.000 0.500 0.699
Ni 0.000 0.500 0.897
Pd 0.000 0.000 0.000

***

## PmGa3NiPd (PBE-GGA)

Data for a relaxed PmGa3NiPd crystal.

## Properties
Symmetry: Cmcm (63)
Raw total energy, eV/atom: -4.556

a = 5.859 Å, b = 6.454 Å, c = 6.788 Å
α = 118.39°, β = 90.00°, γ = 90.00°
Fractional coordinates of all 12 atoms:
Pm 0.750 0.280 0.560
Pm 0.250 0.720 0.440
Ga 0.250 0.167 0.335
Ga 0.000 0.305 0.000
Ga 0.500 0.695 0.000
Ga 0.500 0.305 0.000
Ga 0.000 0.695 0.000
Ga 0.750 0.833 0.665
Ni 0.250 0.367 0.733
Ni 0.750 0.633 0.267
Pd 0.250 0.952 0.905
Pd 0.750 0.048 0.095

***

## PmGaNiPd (PBE-GGA)

Data for a relaxed PmGaNiPd crystal.

## Properties
Symmetry: F-43m (216)
Energy above the lowest structure with this stoichiometry, meV per atom: 158.2
Raw total energy, eV/atom: -5.173

a = 4.671 Å, b = 4.671 Å, c = 4.671 Å
α = 60.00°, β = 60.00°, γ = 60.00°
Fractional coordinates of all 4 atoms:
Ni 0.750 0.750 0.750
Ga 0.500 0.500 0.500
Pd 0.250 0.250 0.250
Pm 0.000 0.000 0.000

***

## PmGa2NiPd (PBE-GGA)

Data for a relaxed PmGa2NiPd crystal.

## Properties
Symmetry: I-4m2 (119)
Raw total energy, eV/atom: -4.997

a = 4.183 Å, b = 4.183 Å, c = 6.001 Å
α = 110.40°, β = 110.40°, γ = 90.00°
Fractional coordinates of all 5 atoms:
Pm 0.000 0.000 0.000
Ga 0.624 0.624 0.248
Ga 0.376 0.376 0.752
Ni 0.250 0.750 0.500
Pd 0.750 0.250 0.500